LiTbHo: optimized geometry, PBE.

a b c (Å): 3.4645 3.4645 8.3162
angles (deg): 90.00 90.00 120.00
Atoms (fractional coordinates):
Li1 0.0000 0.0000 0.9989
Tb1 0.6667 0.3333 0.3313
Ho1 0.3333 0.6667 0.6698

Results
ρ = 6.355 g/cm³
Magnetization = 0.00 μB/cell
Uncorrected energy = -3.598 eV per atom
Polymorph energy (0 for the lowest one) = 0.18 eV per formula unit
SG = P3m1 (156)
Formation energy = 0.110 eV per atom

LiTb2Ho: optimized geometry, PBE.

a b c (Å): 3.7412 5.5840 5.5840
angles (deg): 90.00 90.00 90.00
Atoms (fractional coordinates):
Ho1 0.5000 0.0000 0.0000
Tb1 0.0000 0.0000 0.5000
Tb2 0.0000 0.5000 0.0000
Li1 0.5000 0.5000 0.5000

Results
ρ = 6.971 g/cm³
Magnetization = 0.00 μB/cell
Uncorrected energy = -3.797 eV per atom
Polymorph energy (0 for the lowest one) = 0.29 eV per formula unit
SG = P4/mmm (123)
Formation energy = 0.141 eV per atom

LiTb2Ho2: optimized geometry, PBE.

a b c (Å): 4.3208 4.3208 9.2636
angles (deg): 103.49 103.49 90.00
Atoms (fractional coordinates):
Tb1 0.5921 0.5921 0.1842
Tb2 0.4079 0.4079 0.8158
Ho1 0.2500 0.7500 0.5000
Ho2 0.7500 0.2500 0.5000
Li1 0.0000 0.0000 0.0000

Results
ρ = 6.658 g/cm³
Magnetization = 0.00 μB/cell
Uncorrected energy = -3.594 eV per atom
SG = I4/mmm (139)
Formation energy = 0.472 eV per atom

LiTb2Ho: optimized geometry, PBE.

a b c (Å): 3.4966 3.4966 11.3967
angles (deg): 81.19 81.19 59.97
Atoms (fractional coordinates):
Ho1 0.6666 0.6666 0.0001
Tb1 0.2486 0.2486 0.2542
Tb2 0.0847 0.0847 0.7461
Li1 0.5000 0.5000 0.4997

Results
ρ = 6.849 g/cm³
Magnetization = 0.00 μB/cell
Uncorrected energy = -3.854 eV per atom
Polymorph energy (0 for the lowest one) = 0.06 eV per formula unit
SG = R3m (160)
Formation energy = 0.084 eV per atom

> What is the magnetization in the third record?

0.00 μB/cell